DFT (GGA+U) results for a relaxed SrNiSb2F crystal.

Calculated values
Final energy, eV/atom: -3.339
Mass density, g cm⁻³: 5.688
Crystal system: tetragonal

Unit cell a=5.393 b=5.393 c=4.104 alpha=90.00 beta=90.00 gamma=90.00
Positions (direct):
Sr 0.000 0.000 0.000
Ni 0.500 0.500 0.000
Sb 0.000 0.500 0.500
Sb 0.500 0.000 0.500
F 0.500 0.500 0.500